A:
Below is an optimized crystal structure of GaPSeO2, with properties calculated at the PBE-GGA level.

It has space group P4/mmm (No. 123), with a = 3.7934 Å, b = 3.7934 Å, c = 5.0354 Å, α = 90.00°, β = 90.00° and γ = 90.00°. The distinct sites, in fractional coordinates, are Ga at (0.0000, 0.0000, 0.0000), P at (0.5000, 0.5000, 0.0000), Se at (0.5000, 0.5000, 0.5000) and O at (0.0000, 0.5000, 0.5000).

Its crystal system is tetragonal.

***

B:
Below is an optimized crystal structure of GaPSeO2, with properties calculated at the PBE-GGA level.

It has space group P4/mmm (No. 123), with a = 3.6408 Å, b = 3.6408 Å, c = 7.1949 Å, α = 90.00°, β = 90.00° and γ = 90.00°. The distinct sites, in fractional coordinates, are Ga at (0.0000, 0.0000, 0.0000), P at (0.0000, 0.0000, 0.5000), Se at (0.5000, 0.5000, 0.5000) and O at (0.0000, 0.5000, 0.0000).

Its crystal system is tetragonal.

***

The most stable arrangement is B, and the next structure is 174 meV per atom less stable.

***

A:
Below is an optimized crystal structure of GaSiP2O, with properties calculated at the PBE-GGA level.

It has space group P4/mmm (No. 123), with a = 4.8305 Å, b = 4.8305 Å, c = 3.5975 Å, α = 90.00°, β = 90.00° and γ = 90.00°. The distinct sites, in fractional coordinates, are Ga at (0.0000, 0.0000, 0.0000), Si at (0.5000, 0.5000, 0.5000), P at (0.0000, 0.5000, 0.0000) and O at (0.0000, 0.0000, 0.5000).

Its crystal system is tetragonal.

***

B:
Below is an optimized crystal structure of GaSiP2O, with properties calculated at the PBE-GGA level.

It has space group P4/mmm (No. 123), with a = 4.3991 Å, b = 4.3991 Å, c = 4.9712 Å, α = 90.00°, β = 90.00° and γ = 90.00°. The distinct sites, in fractional coordinates, are Ga at (0.0000, 0.0000, 0.0000), Si at (0.0000, 0.0000, 0.5000), P at (0.0000, 0.5000, 0.5000) and O at (0.5000, 0.5000, 0.0000).

Its crystal system is tetragonal.

***

C:
Below is an optimized crystal structure of GaSiP2O, with properties calculated at the PBE-GGA level.

It has space group P4/mmm (No. 123), with a = 4.8021 Å, b = 4.8021 Å, c = 3.2828 Å, α = 90.00°, β = 90.00° and γ = 90.00°. The distinct sites, in fractional coordinates, are Ga at (0.0000, 0.0000, 0.0000), Si at (0.5000, 0.5000, 0.5000), P at (0.0000, 0.5000, 0.5000) and O at (0.5000, 0.5000, 0.0000).

Its crystal system is tetragonal.

***

The most stable arrangement is C, and the next structure is 690 meV per atom less stable.

***

A:
Below is an optimized crystal structure of GaSiPO2, with properties calculated at the PBE-GGA level.

It has space group P4/mmm (No. 123), with a = 3.6762 Å, b = 3.6762 Å, c = 5.3914 Å, α = 90.00°, β = 90.00° and γ = 90.00°. The distinct sites, in fractional coordinates, are Ga at (0.0000, 0.0000, 0.0000), Si at (0.5000, 0.5000, 0.5000), P at (0.0000, 0.0000, 0.5000) and O at (0.0000, 0.5000, 0.0000).

Its crystal system is tetragonal.

***

B:
Below is an optimized crystal structure of GaSiPO2, with properties calculated at the PBE-GGA level.

It has space group P4/mmm (No. 123), with a = 3.4569 Å, b = 3.4569 Å, c = 5.2006 Å, α = 90.00°, β = 90.00° and γ = 90.00°. The distinct sites, in fractional coordinates, are Ga at (0.0000, 0.0000, 0.0000), Si at (0.5000, 0.5000, 0.5000), P at (0.5000, 0.5000, 0.0000) and O at (0.0000, 0.5000, 0.5000).

Its crystal system is tetragonal.

***

The most stable arrangement is B, and the next structure is 895 meV per atom less stable.

***

A:
Below is an optimized crystal structure of GaSnPO2, with properties calculated at the PBE-GGA level.

It has space group P4/mmm (No. 123), with a = 3.8516 Å, b = 3.8516 Å, c = 5.1225 Å, α = 90.00°, β = 90.00° and γ = 90.00°. The distinct sites, in fractional coordinates, are Ga at (0.0000, 0.0000, 0.0000), Sn at (0.5000, 0.5000, 0.5000), P at (0.0000, 0.0000, 0.5000) and O at (0.0000, 0.5000, 0.0000).

Its crystal system is tetragonal.

***

B:
Below is an optimized crystal structure of GaSnPO2, with properties calculated at the PBE-GGA level.

It has space group P4/mmm (No. 123), with a = 3.9395 Å, b = 3.9395 Å, c = 5.5623 Å, α = 90.00°, β = 90.00° and γ = 90.00°. The distinct sites, in fractional coordinates, are Ga at (0.0000, 0.0000, 0.0000), Sn at (0.5000, 0.5000, 0.5000), P at (0.5000, 0.5000, 0.0000) and O at (0.0000, 0.5000, 0.5000).

Its crystal system is tetragonal.

***

The most stable arrangement is A, and the next structure is 51 meV per atom less stable.